VASP calculation (meta-GGA SCAN) on TlRuRh2 at its PBEsol-relaxed geometry.

## Properties
Calculated formation energy, eV/f.u.: 1.45
DOS at the Fermi energy, states/eV/f.u.: 4.22
Raw total energy, eV/cell: -173.28
Energy relative to the lowest polymorph listed for this composition, meV per atom: 31

Unit cell a=4.746 b=4.746 c=2.834 alpha=90.00 beta=90.00 gamma=108.10
Element x y z (fractional)
Tl 0.000 0.000 0.000
Ru 0.500 0.500 0.000
Rh 0.000 0.500 0.500
Rh 0.500 0.000 0.500